VASP calculation (PBE-GGA) on TmAl2 after structural relaxation.

Cell lengths 5.5119, 5.5119, 5.5119 Å; angles 60.00, 60.00, 60.00 degrees
Atoms (fractional coordinates):
Tm 0.2500 0.2500 0.2500
Tm 0.0000 0.0000 0.0000
Al 0.6250 0.6250 0.6250
Al 0.6250 0.1250 0.6250
Al 0.6250 0.6250 0.1250
Al 0.1250 0.6250 0.6250

Properties
V	118.4	Å³ per cell
DFT total energy	-4.4907	eV/atom
space-group type	Fd-3m (227)

VASP calculation (PBE-GGA) on TmAl after structural relaxation.

Cell lengths 3.3621, 3.3620, 4.8948 Å; angles 90.00, 90.00, 120.00 degrees
Atoms (fractional coordinates):
Tm 0.3333 0.6667 0.2500
Al 0.6667 0.3333 0.7500

Properties
V	47.9	Å³ per cell
DFT total energy	-4.2050	eV/atom
space-group type	P-6m2 (187)

VASP calculation (PBE-GGA) on TmAl after structural relaxation.

Cell lengths 4.7508, 4.7508, 4.7508 Å; angles 60.00, 60.00, 60.00 degrees
Atoms (fractional coordinates):
Al 0.0000 0.0000 0.0000
Tm 0.2500 0.2500 0.2500

Properties
V	75.8	Å³ per cell
DFT total energy	-3.1024	eV/atom
space-group type	F-43m (216)

VASP calculation (PBE-GGA) on Tm3Al after structural relaxation.

Cell lengths 6.7159, 6.7159, 5.2589 Å; angles 90.00, 90.00, 120.00 degrees
Atoms (fractional coordinates):
Al 0.6667 0.3333 0.2500
Al 0.3333 0.6667 0.7500
Tm 0.6530 0.8265 0.2500
Tm 0.1735 0.8265 0.2500
Tm 0.1735 0.3470 0.2500
Tm 0.3470 0.1735 0.7500
Tm 0.8265 0.1735 0.7500
Tm 0.8265 0.6530 0.7500

Properties
V	205.4	Å³ per cell
DFT total energy	-4.4904	eV/atom
space-group type	P6_3/mmc (194)

VASP calculation (PBE-GGA) on TmAl2 after structural relaxation.

Cell lengths 5.7352, 5.7352, 5.5024 Å; angles 90.00, 90.00, 90.00 degrees
Atoms (fractional coordinates):
Al 0.3472 0.3472 0.0000
Al 0.6528 0.6528 0.0000
Al 0.8472 0.1528 0.5000
Al 0.1528 0.8472 0.5000
Tm 0.5000 0.5000 0.5000
Tm 0.0000 0.0000 0.0000

Properties
V	181.0	Å³ per cell
DFT total energy	-3.4026	eV/atom
space-group type	P4_2/mnm (136)

VASP calculation (PBE-GGA) on Tm3Al2 after structural relaxation.

Cell lengths 6.1513, 6.1513, 9.4208 Å; angles 109.05, 70.95, 120.00 degrees
Atoms (fractional coordinates):
Tm 0.5778 0.7500 0.2500
Tm 0.4222 0.2500 0.7500
Tm 0.7500 0.9222 0.7500
Tm 0.9222 0.4222 0.2500
Tm 0.0778 0.5778 0.7500
Tm 0.2500 0.0778 0.2500
Al 0.8349 0.1651 0.4954
Al 0.6651 0.3349 0.0046
Al 0.1651 0.8349 0.5046
Al 0.3349 0.6651 0.9954

Properties
V	285.9	Å³ per cell
DFT total energy	-4.1230	eV/atom
space-group type	R-3c (167)

VASP calculation (PBE-GGA) on TmAl2 after structural relaxation.

Cell lengths 4.7796, 4.7796, 4.7796 Å; angles 60.00, 60.00, 60.00 degrees
Atoms (fractional coordinates):
Al 0.7500 0.7500 0.7500
Al 0.2500 0.2500 0.2500
Tm 0.0000 0.0000 0.0000

Properties
V	77.2	Å³ per cell
DFT total energy	-3.7319	eV/atom
space-group type	Fm-3m (225)

VASP calculation (PBE-GGA) on TmUAl after structural relaxation.

Cell lengths 4.9027, 4.9027, 4.9027 Å; angles 60.00, 60.00, 60.00 degrees
Atoms (fractional coordinates):
Al 0.0000 0.0000 0.0000
Tm 0.2500 0.2500 0.2500
U 0.7500 0.7500 0.7500

Properties
ΔE to the lowest computed polymorph	0	meV per atom
V	83.3	Å³ per cell
space-group type	F-43m (216)

VASP calculation (PBE-GGA) on TmAlW after structural relaxation.

Cell lengths 4.7167, 4.7167, 4.7167 Å; angles 60.00, 60.00, 60.00 degrees
Atoms (fractional coordinates):
W 0.7500 0.7500 0.7500
Tm 0.0000 0.0000 0.0000
Al 0.2500 0.2500 0.2500

Properties
ΔE to the lowest computed polymorph	723	meV per atom
V	74.2	Å³ per cell
space-group type	F-43m (216)

VASP calculation (PBE-GGA) on TmAlW after structural relaxation.

Cell lengths 4.5191, 4.5191, 4.5191 Å; angles 60.00, 60.00, 60.00 degrees
Atoms (fractional coordinates):
Tm 0.2500 0.2500 0.2500
W 0.7500 0.7500 0.7500
Al 0.0000 0.0000 0.0000

Properties
ΔE to the lowest computed polymorph	0	meV per atom
V	65.3	Å³ per cell
space-group type	F-43m (216)

VASP calculation (PBE-GGA) on Tm6Al43W4 after structural relaxation.

Cell lengths 10.9851, 10.9851, 17.6607 Å; angles 90.00, 90.00, 120.00 degrees
Atoms (fractional coordinates):
Tm 0.5324 0.5324 0.4044
Tm 0.0000 0.5324 0.5956
Tm 0.0000 0.5324 0.9044
Tm 0.4676 0.4676 0.5956
Tm 0.5324 0.0000 0.5956
Tm 0.0000 0.4676 0.4044
Tm 0.4676 0.0000 0.4044
Tm 0.5324 0.5324 0.0956
Tm 0.0000 0.4676 0.0956
Tm 0.5324 0.0000 0.9044
Tm 0.4676 0.0000 0.0956
Tm 0.4676 0.4676 0.9044
Al 0.8423 0.2372 0.6631
Al 0.4048 0.5525 0.7500
Al 0.6667 0.3333 0.6250
Al 0.6667 0.3333 0.1250
Al 0.8423 0.6051 0.1631
Al 0.0000 0.1607 0.3859
Al 0.6051 0.8423 0.3369
Al 0.1577 0.7628 0.3369
Al 0.3333 0.6667 0.6250
Al 0.4475 0.5952 0.2500
Al 0.7628 0.1577 0.3369
Al 0.5525 0.1477 0.2500
Al 0.2554 0.2554 0.4697
Al 0.5952 0.1477 0.7500
Al 0.7446 0.7446 0.5303
Al 0.7446 0.0000 0.0303
Al 0.1577 0.7628 0.1631
Al 0.5061 0.7530 0.5000
Al 0.4939 0.2470 0.5000
Al 0.6667 0.3333 0.8750
Al 0.3333 0.6667 0.3750
Al 0.0000 0.1607 0.1141
Al 0.2554 0.0000 0.9697
Al 0.2470 0.7530 0.5000
Al 0.2470 0.4939 0.5000
Al 0.5525 0.4048 0.7500
Al 0.4048 0.8523 0.2500
Al 0.3949 0.1577 0.6631
Al 0.5952 0.4475 0.2500
Al 0.8393 0.0000 0.8859
Al 0.1607 0.1607 0.6141
Al 0.7530 0.2470 0.5000
Al 0.2372 0.3949 0.3369
Al 0.7446 0.0000 0.4697
Al 0.8523 0.4475 0.7500
Al 0.7628 0.1577 0.1631
Al 0.8514 0.0000 0.2500
Al 0.0000 0.7446 0.0303
Al 0.3949 0.2372 0.3369
Al 0.4475 0.8523 0.7500
Al 0.7628 0.6051 0.6631
Al 0.2470 0.7530 0.0000
Al 0.0000 0.8514 0.2500
Al 0.8393 0.0000 0.6141
Al 0.0000 0.2554 0.5303
Al 0.8393 0.8393 0.3859
Al 0.6051 0.8423 0.1631
Al 0.7446 0.7446 0.9697
Al 0.2470 0.4939 0.0000
Al 0.8393 0.8393 0.1141
Al 0.1607 0.0000 0.3859
Al 0.2554 0.0000 0.5303
Al 0.6051 0.7628 0.6631
Al 0.3333 0.6667 0.8750
Al 0.7530 0.5061 0.5000
Al 0.1607 0.1607 0.8859
Al 0.7530 0.5061 0.0000
Al 0.0000 0.1486 0.7500
Al 0.1477 0.5952 0.7500
Al 0.3949 0.2372 0.1631
Al 0.1577 0.3949 0.6631
Al 0.2554 0.2554 0.0303
Al 0.8423 0.6051 0.3369
Al 0.4939 0.2470 0.0000
Al 0.2372 0.8423 0.6631
Al 0.2372 0.8423 0.8369
Al 0.3949 0.1577 0.8369
Al 0.1486 0.0000 0.7500
Al 0.6051 0.7628 0.8369
Al 0.7628 0.6051 0.8369
Al 0.1486 0.1486 0.2500
Al 0.2372 0.3949 0.1631
Al 0.8423 0.2372 0.8369
Al 0.1477 0.5525 0.2500
Al 0.3333 0.6667 0.1250
Al 0.5061 0.7530 0.0000
Al 0.1607 0.0000 0.1141
Al 0.8523 0.4048 0.2500
Al 0.1577 0.3949 0.8369
Al 0.0000 0.7446 0.4697
Al 0.7530 0.2470 0.0000
Al 0.6667 0.3333 0.3750
Al 0.0000 0.8393 0.8859
Al 0.0000 0.8393 0.6141
Al 0.0000 0.2554 0.9697
Al 0.8514 0.8514 0.7500
W 0.2715 0.2715 0.7500
W 0.0000 0.2715 0.2500
W 0.0000 0.0000 0.0000
W 0.7285 0.0000 0.7500
W 0.7285 0.7285 0.2500
W 0.2715 0.0000 0.2500
W 0.0000 0.0000 0.5000
W 0.0000 0.7285 0.7500

Properties
V	1845.6	Å³ per cell
DFT total energy	-4.7855	eV/atom
space-group type	P6_3/mcm (193)

VASP calculation (PBE-GGA) on YTmAl after structural relaxation.

Cell lengths 6.5026, 5.0692, 9.4274 Å; angles 90.00, 90.00, 90.00 degrees
Atoms (fractional coordinates):
Tm 0.0276 0.7500 0.2107
Tm 0.9724 0.2500 0.7893
Tm 0.5276 0.7500 0.2893
Tm 0.4724 0.2500 0.7107
Y 0.1888 0.7500 0.5732
Y 0.8112 0.2500 0.4268
Y 0.3112 0.2500 0.0732
Y 0.6888 0.7500 0.9268
Al 0.2050 0.7500 0.8964
Al 0.2950 0.2500 0.3964
Al 0.7950 0.2500 0.1036
Al 0.7050 0.7500 0.6036

Properties
ΔE to the lowest computed polymorph	0	meV per atom
V	310.8	Å³ per cell
space-group type	Pnma (62)